1.
## NaAc4Ir3O12 (PBE)

Data for an optimized crystal structure of NaAc4Ir3O12.

abc: 7.657 7.657 7.657
angles: 109.47 109.47 109.47
Element x y z (fractional)
Na (0.000, 0.000, 0.000)
Ac (0.000, 0.000, 0.500)
Ac (0.000, 0.500, 0.000)
Ac (0.500, 0.000, 0.000)
Ac (0.500, 0.500, 0.500)
Ir (0.000, 0.500, 0.500)
Ir (0.500, 0.000, 0.500)
Ir (0.500, 0.500, 0.000)
O (0.148, 0.336, 0.484)
O (0.148, 0.664, 0.812)
O (0.188, 0.852, 0.336)
O (0.336, 0.188, 0.852)
O (0.336, 0.484, 0.148)
O (0.484, 0.148, 0.336)
O (0.516, 0.852, 0.664)
O (0.664, 0.516, 0.852)
O (0.664, 0.812, 0.148)
O (0.812, 0.148, 0.664)
O (0.852, 0.336, 0.188)
O (0.852, 0.664, 0.516)

Space-group type: Im-3, No. 204
E_form (uncorrected): -1943 meV per atom
DFT total energy: -7.135 eV per atom

---

2.
## GaFeCo3 (PBE)

Data for an optimized crystal structure of GaFeCo3.

abc: 4.266 4.266 4.266
angles: 90.00 90.00 90.00
Element x y z (fractional)
Ga (0.000, 0.000, 0.000)
Fe (0.500, 0.500, 0.500)
Co (0.000, 0.000, 0.500)
Co (0.000, 0.500, 0.000)
Co (0.500, 0.000, 0.000)

Excess energy over the best structure of this formula in the dataset: 1001.5 meV/atom
Space-group type: Pm-3m, No. 221
DFT total energy: -5.449 eV per atom

---

> Among the records above, which one has the lowest DFT total energy?

NaAc4Ir3O12

---

> What is the formula in the first record?

NaAc4Ir3O12

---

> Which value of DFT total energy does entry 1 give?

-7.135 eV per atom

---

> Which value of DFT total energy does entry 2 give?

-5.449 eV per atom